Density functional theory data (PBE+U) for crystalline K2Cr2IrO6 at its relaxed geometry.

Output
Its crystal system is monoclinic. As for the total moment: 7.1 μB per formula unit. The final energy comes out at -72.756 eV per cell.

The structure in POSCAR format:
```
K2Cr2IrO6
1.0
-1.4039 -4.8717 1.6450
4.8306 0.7584 -2.1216
1.1431 2.5734 5.7387
O Cr K Ir
6 2 2 1
Direct
0.2807 0.2807 0.3324 O
0.0539 0.3879 0.6651 O
0.7193 0.7193 0.6676 O
0.6121 0.9461 0.3349 O
0.3879 0.0539 0.6651 O
0.9461 0.6121 0.3349 O
0.3351 0.6649 0.5000 Cr
0.6649 0.3351 0.5000 Cr
0.8332 0.1668 0.0000 K
0.1668 0.8332 0.0000 K
0.0000 0.0000 0.5000 Ir
```